[1]
Entry from Alexandria via LeMat-Bulk: a geometry-optimized InCu5Au6 structure (PBE).

Cell: 4.6849 5.9380 6.9483 Å, 90.00 98.59 90.00°
Last column: nearest neighbours and their distance in Å.
Fractional positions:
Au  0.5000  0.7398  0.0000  6 Cu 2.69-2.78, 2 In 2.81, 3 Au 2.85-2.99
Au  0.5000  0.2602  0.0000  6 Cu 2.69-2.78, 2 In 2.81, 3 Au 2.85-2.99
Au  0.7959  0.7456  0.6481  7 Cu 2.68-2.88, 1 In 2.91, 2 Au 2.92-2.99
Au  0.2041  0.2544  0.3519  7 Cu 2.68-2.88, 1 In 2.91, 2 Au 2.92-2.99
Au  0.2041  0.7456  0.3519  7 Cu 2.68-2.88, 1 In 2.91, 2 Au 2.92-2.99
Au  0.7959  0.2544  0.6481  7 Cu 2.68-2.88, 1 In 2.91, 2 Au 2.92-2.99
Cu  0.0000  0.5000  0.0000  8 Au 2.74-2.88, 2 Cu 2.80, 2 In 2.97
Cu  0.3079  0.0000  0.6742  8 Au 2.68-2.82, 1 In 2.86, 2 Cu 2.97
Cu  0.2983  0.5000  0.6797  8 Au 2.69-2.79, 3 Cu 2.80-2.97
Cu  0.6921  0.0000  0.3258  8 Au 2.68-2.82, 1 In 2.86, 2 Cu 2.97
Cu  0.7017  0.5000  0.3203  8 Au 2.69-2.79, 3 Cu 2.80-2.97
In  0.0000  0.0000  0.0000  8 Au 2.81-2.91, 4 Cu 2.86-2.97

## Properties
The calculation puts the density of states at the Fermi level at 0.226 states/eV per atom. The formation energy is -53 meV/atom. For the electronic total energy, the calculation gives -43.5 eV per cell. Its magnetization is 0.00 μB/f.u. Its space-group type is P2/m, No. 10.



[2]
Entry from Alexandria via LeMat-Bulk: a geometry-optimized NbPRuS2 structure (PBE).

Cell: 4.7295 4.7295 4.8866 Å, 90.00 90.00 90.00°
Last column: nearest neighbours and their distance in Å.
Fractional positions:
Ru  0.5000  0.5000  0.5000  4 P 3.34, 8 S 3.40
S  0.5000  0.0000  0.0000  2 Nb 2.36
S  0.0000  0.5000  0.0000  2 Nb 2.36
P  0.0000  0.0000  0.5000  2 Nb 2.44
Nb  0.0000  0.0000  0.0000  4 S 2.36, 2 P 2.44

## Properties
The calculation puts the density of states at the Fermi level at 0.651 states/eV per atom. For the electronic total energy, the calculation gives -29.6 eV per cell. The value obtained for the distance to the lowest polymorph of the same formula is 2 meV/atom. Its magnetization is 3.11 μB/f.u. Its space-group type is P4/mmm, No. 123. The uncorrected formation energy is 0.69 eV per atom.



[3]
Entry from Alexandria via LeMat-Bulk: a geometry-optimized MnAuBr4 structure (PBE).

Cell: 6.4746 7.3468 9.8912 Å, 68.20 89.64 89.04°
Last column: nearest neighbours and their distance in Å.
Fractional positions:
Br  0.5901  0.9572  0.1860  1 Au 2.42, 1 Mn 2.61
Br  0.9386  0.1475  0.5955  2 Mn 2.46-2.67
Br  0.0614  0.8525  0.4045  2 Mn 2.46-2.67
Br  0.0901  0.6432  0.8140  1 Au 2.42, 1 Mn 2.61
Br  0.9099  0.3568  0.1860  1 Au 2.42, 1 Mn 2.61
Br  0.4099  0.0428  0.8140  1 Au 2.42, 1 Mn 2.61
Br  0.4386  0.2431  0.4045  2 Mn 2.46-2.67
Br  0.5614  0.7569  0.5955  2 Mn 2.46-2.67
Au  0.7500  0.6524  0.1952  2 Br 2.42
Au  0.2500  0.3476  0.8048  2 Br 2.42
Mn  0.2500  0.9457  0.6087  6 Br 2.46-2.67
Mn  0.7500  0.0543  0.3913  6 Br 2.46-2.67

## Properties
The calculation puts the density of states at the Fermi level at 0.573 states/eV per atom. For the electronic total energy, the calculation gives -43.5 eV per cell. The value obtained for the distance to the lowest polymorph of the same formula is 0 meV/atom. Its magnetization is 4.00 μB/f.u. Its space-group type is C2/c, No. 15. The uncorrected formation energy is -0.44 eV per atom.



Please write out number 3 again, unchanged.
Entry from Alexandria via LeMat-Bulk: a geometry-optimized MnAuBr4 structure (PBE).

Cell: 6.4746 7.3468 9.8912 Å, 68.20 89.64 89.04°
Last column: nearest neighbours and their distance in Å.
Fractional positions:
Br  0.5901  0.9572  0.1860  1 Au 2.42, 1 Mn 2.61
Br  0.9386  0.1475  0.5955  2 Mn 2.46-2.67
Br  0.0614  0.8525  0.4045  2 Mn 2.46-2.67
Br  0.0901  0.6432  0.8140  1 Au 2.42, 1 Mn 2.61
Br  0.9099  0.3568  0.1860  1 Au 2.42, 1 Mn 2.61
Br  0.4099  0.0428  0.8140  1 Au 2.42, 1 Mn 2.61
Br  0.4386  0.2431  0.4045  2 Mn 2.46-2.67
Br  0.5614  0.7569  0.5955  2 Mn 2.46-2.67
Au  0.7500  0.6524  0.1952  2 Br 2.42
Au  0.2500  0.3476  0.8048  2 Br 2.42
Mn  0.2500  0.9457  0.6087  6 Br 2.46-2.67
Mn  0.7500  0.0543  0.3913  6 Br 2.46-2.67

## Properties
The calculation puts the density of states at the Fermi level at 0.573 states/eV per atom. For the electronic total energy, the calculation gives -43.5 eV per cell. The value obtained for the distance to the lowest polymorph of the same formula is 0 meV/atom. Its magnetization is 4.00 μB/f.u. Its space-group type is C2/c, No. 15. The uncorrected formation energy is -0.44 eV per atom.



magnetization of number 3 (MnAuBr4)?
4.00 μB/f.u.



Among the records above, which one has the lowest magnetization?
InCu5Au6